! LiSm2Pd2, relaxed, DFT PBE; values from VASP
! - space group = No. 127
! - energy of formation (kJ per mole of atoms) = -62.8
! - mass density (g/cm³) = 7.4
! - electronic total energy (eV for the cell shown) = -49.98
&SYSTEM
  ibrav = 0, nat = 10, ntyp = 3
/
ATOMIC_SPECIES
Li 6.94 Li.upf
Sm 150.36 Sm.upf
Pd 106.42 Pd.upf
ATOMIC_POSITIONS angstrom
Li 0.000 0.000 0.000
Li 3.880 3.880 0.000
Sm 1.296 2.584 1.934
Sm 2.584 6.465 1.934
Sm 5.176 1.296 1.934
Sm 6.465 5.176 1.934
Pd 1.031 4.912 0.000
Pd 2.849 1.031 0.000
Pd 4.912 6.729 0.000
Pd 6.729 2.849 0.000
CELL_PARAMETERS angstrom
7.760 0.000 0.000
0.000 7.760 0.000
0.000 0.000 3.868



! Li2SmPd, relaxed, DFT PBE; values from VASP
! - space group = No. 166
! - offset from the most stable computed form (eV/atom) = 0.176
! - energy of formation (kJ per mole of atoms) = -15.5
! - mass density (g/cm³) = 6.1
! - electronic total energy (eV for the cell shown) = -14.38
&SYSTEM
  ibrav = 0, nat = 4, ntyp = 3
/
ATOMIC_SPECIES
Li 6.94 Li.upf
Sm 150.36 Sm.upf
Pd 106.42 Pd.upf
ATOMIC_POSITIONS angstrom
Li 0.000 0.000 2.897
Li 0.000 0.000 8.668
Sm 0.000 0.000 5.782
Pd 0.000 0.000 0.000
CELL_PARAMETERS angstrom
2.351 1.357 3.855
-2.351 1.357 3.855
0.000 -2.714 3.855



! LiSm2Pd, relaxed, DFT PBE; values from VASP
! - space group = No. 166
! - energy of formation (kJ per mole of atoms) = -19.5
! - mass density (g/cm³) = 6.0
! - electronic total energy (eV for the cell shown) = -17.36
&SYSTEM
  ibrav = 0, nat = 4, ntyp = 3
/
ATOMIC_SPECIES
Li 6.94 Li.upf
Sm 150.36 Sm.upf
Pd 106.42 Pd.upf
ATOMIC_POSITIONS angstrom
Li 0.000 0.000 0.000
Sm 0.000 0.000 6.403
Sm 0.000 0.000 20.863
Pd 0.000 0.000 13.633
CELL_PARAMETERS angstrom
1.904 1.099 9.089
-1.904 1.099 9.089
0.000 -2.199 9.089



! Li2SmPd3, relaxed, DFT PBE; values from VASP
! - space group = No. 194
! - energy of formation (kJ per mole of atoms) = -57.6
! - mass density (g/cm³) = 7.7
! - electronic total energy (eV for the cell shown) = -55.42
&SYSTEM
  ibrav = 0, nat = 12, ntyp = 3
/
ATOMIC_SPECIES
Li 6.94 Li.upf
Sm 150.36 Sm.upf
Pd 106.42 Pd.upf
ATOMIC_POSITIONS angstrom
Li 0.000 2.559 0.930
Li 0.000 2.559 5.162
Li 2.217 1.280 7.022
Li 2.217 1.280 11.254
Sm 0.000 0.000 3.046
Sm 0.000 0.000 9.138
Pd 0.000 0.000 0.000
Pd 0.000 0.000 6.092
Pd 0.000 2.559 7.699
Pd 0.000 2.559 10.577
Pd 2.217 1.280 1.607
Pd 2.217 1.280 4.485
CELL_PARAMETERS angstrom
4.433 0.000 0.000
-2.217 3.839 0.000
0.000 0.000 12.184



! LiSm2Pd4, relaxed, DFT PBE; values from VASP
! - space group = No. 139
! - offset from the most stable computed form (eV/atom) = 0.038
! - energy of formation (kJ per mole of atoms) = -48.3
! - mass density (g/cm³) = 8.7
! - electronic total energy (eV for the cell shown) = -35.63
&SYSTEM
  ibrav = 0, nat = 7, ntyp = 3
/
ATOMIC_SPECIES
Li 6.94 Li.upf
Sm 150.36 Sm.upf
Pd 106.42 Pd.upf
ATOMIC_POSITIONS angstrom
Li 0.000 0.000 0.000
Sm 0.000 0.000 5.199
Sm 0.000 0.000 9.717
Pd 2.171 0.000 0.000
Pd 0.000 0.000 2.301
Pd 0.000 2.171 0.000
Pd 0.000 0.000 12.614
CELL_PARAMETERS angstrom
-2.171 2.171 7.458
2.171 -2.171 7.458
2.171 2.171 -7.458



! Li6SmPd4, relaxed, DFT PBE; values from VASP
! - space group = No. 121
! - energy of formation (kJ per mole of atoms) = -25.8
! - mass density (g/cm³) = 4.9
! - electronic total energy (eV for the cell shown) = -39.91
&SYSTEM
  ibrav = 0, nat = 11, ntyp = 3
/
ATOMIC_SPECIES
Li 6.94 Li.upf
Sm 150.36 Sm.upf
Pd 106.42 Pd.upf
ATOMIC_POSITIONS angstrom
Li 3.233 0.000 0.000
Li 2.005 2.005 -1.974
Li 1.227 1.227 2.989
Li 0.000 3.233 0.000
Li 1.227 -1.227 6.937
Li -1.227 1.227 6.937
Sm 0.000 0.000 0.000
Pd 1.184 -1.184 4.254
Pd 2.048 2.048 0.709
Pd -1.184 1.184 4.254
Pd 1.184 1.184 5.671
CELL_PARAMETERS angstrom
-3.233 3.233 4.963
3.233 -3.233 4.963
3.233 3.233 -4.963



! LiSm12Pd6, relaxed, DFT PBE; values from VASP
! - space group = No. 148
! - energy of formation (kJ per mole of atoms) = -36.2
! - mass density (g/cm³) = 7.3
! - electronic total energy (eV for the cell shown) = -96.83
&SYSTEM
  ibrav = 0, nat = 19, ntyp = 3
/
ATOMIC_SPECIES
Li 6.94 Li.upf
Sm 150.36 Sm.upf
Pd 106.42 Pd.upf
ATOMIC_POSITIONS angstrom
Li 0.000 0.000 0.000
Sm -5.968 0.960 3.711
Sm -3.815 -4.688 5.445
Sm -1.717 -1.513 2.995
Sm 2.152 -5.648 3.711
Sm -0.451 2.244 2.995
Sm 2.169 -0.731 2.995
Sm -2.169 0.731 6.161
Sm 0.451 -2.244 6.161
Sm -2.152 5.648 5.445
Sm 1.717 1.513 6.161
Sm 3.815 4.688 3.711
Sm 5.968 -0.960 5.445
Pd -3.102 1.154 3.510
Pd 0.552 -3.264 3.510
Pd -2.550 -2.110 5.646
Pd 2.550 2.110 3.510
Pd -0.552 3.264 5.646
Pd 3.102 -1.154 5.646
CELL_PARAMETERS angstrom
7.245 4.183 3.052
-7.245 4.183 3.052
0.000 -8.365 3.052



! Li2SmPd, relaxed, DFT PBE; values from VASP
! - space group = No. 11
! - offset from the most stable computed form (eV/atom) = 0.000
! - energy of formation (kJ per mole of atoms) = -32.4
! - mass density (g/cm³) = 5.4
! - electronic total energy (eV for the cell shown) = -30.17
&SYSTEM
  ibrav = 0, nat = 8, ntyp = 3
/
ATOMIC_SPECIES
Li 6.94 Li.upf
Sm 150.36 Sm.upf
Pd 106.42 Pd.upf
ATOMIC_POSITIONS angstrom
Li 0.000 0.452 1.645
Li 0.000 3.574 1.645
Li 2.052 4.477 3.423
Li 2.052 7.599 3.423
Sm 0.003 2.013 4.508
Sm 2.049 6.038 0.561
Pd 0.006 6.038 2.684
Pd 2.046 2.013 2.384
CELL_PARAMETERS angstrom
4.088 0.000 0.000
0.000 8.050 0.000
-2.036 0.000 5.068



What DOS at the Fermi energy values result from the calculations? In sequence: 5.012, 4.913, 4.661, 5.752, 2.938, 3.969, 20.659, 5.277 states/eV per cell.